GGA-PBE EuDy2, optimized geometry; space-group type = Fd-3m (227); formation energy = 0.2288 eV/atom; offset from the most stable computed form = 171 meV per atom; total DFT energy (no corrections) = -6.264 eV/atom
1.0
0.0000 4.8052 4.8052
4.8052 0.0000 4.8052
4.8052 4.8052 0.0000
Eu Dy
2 4
direct
0.1250 0.1250 0.1250
0.8750 0.8750 0.8750
0.0000 0.5000 0.5000
0.5000 0.0000 0.5000
0.5000 0.5000 0.0000
0.5000 0.5000 0.5000

GGA-PBE MgHg2Rh, optimized geometry; space-group type = C2/m (12); formation energy = -0.0632 eV/atom; total DFT energy (no corrections) = -2.451 eV/atom
1.0
4.6825 -1.6153 0.0000
4.6825 1.6153 0.0000
-1.0830 0.0000 5.0586
Mg Hg Rh
1 2 1
direct
0.0000 0.0000 0.0000
0.2451 0.2451 0.7401
0.7549 0.7549 0.2599
0.5000 0.5000 0.5000

Question: Look up the total DFT energy (no corrections) of the first one.
Answer: -6.264 eV/atom

Question: Which formula does entry 2 have?
Answer: MgHg2Rh

Question: Look up the total DFT energy (no corrections) of the first one.
Answer: -6.264 eV/atom